Density functional theory data (PBE) for an optimized crystal structure of Nb2CoTcN.

abc: 4.2893 4.2893 3.6767
angles: 90.00 90.00 90.00
With the nearest neighbours (Å) after each atom.
Positions (direct):
Nb: 0.0000 0.5000 0.0000  2 N 2.14
Nb: 0.5000 0.0000 0.0000  2 N 2.14
Co: 0.0000 0.0000 0.5000  2 N 1.84
Tc: 0.5000 0.5000 0.5000  8 Nb 2.82, 4 Co 3.03
N: 0.0000 0.0000 0.0000  2 Co 1.84

Summary:
Space group: P4/mmm
DOS at the Fermi energy (states/eV/f.u.): 4.3
V (A^3/atom): 13.529
E_form (uncorrected) (kJ/mol of formula units): -174



Density functional theory data (PBE) for an optimized crystal structure of NbCoTe2N.

abc: 5.5437 5.5437 3.8777
angles: 90.00 90.00 90.00
With the nearest neighbours (Å) after each atom.
Positions (direct):
Nb: 0.0000 0.0000 0.0000  2 N 1.94
Co: 0.5000 0.5000 0.5000  8 Te 3.38
Te: 0.0000 0.5000 0.0000  2 Nb 2.77
Te: 0.5000 0.0000 0.0000  2 Nb 2.77
N: 0.0000 0.0000 0.5000  2 Nb 1.94

Summary:
Space group: P4/mmm
DOS at the Fermi energy (states/eV/f.u.): 5.8
V (A^3/atom): 23.835
E_form (uncorrected) (kJ/mol of formula units): 299



Density functional theory data (PBE) for an optimized crystal structure of NbCoTeN2.

abc: 3.9725 3.9725 5.9846
angles: 90.00 90.00 90.00
With the nearest neighbours (Å) after each atom.
Positions (direct):
Nb: 0.0000 0.0000 0.0000  4 N 1.99
Co: 0.5000 0.5000 0.5000  4 Te 2.81
Te: 0.0000 0.0000 0.5000  4 Co 2.81, 2 Nb 2.99
N: 0.0000 0.5000 0.0000  2 Nb 1.99
N: 0.5000 0.0000 0.0000  2 Nb 1.99

Summary:
Space group: P4/mmm
DOS at the Fermi energy (states/eV/f.u.): 8.0
V (A^3/atom): 18.888
E_form (uncorrected) (kJ/mol of formula units): 323



Density functional theory data (PBE) for an optimized crystal structure of NbCoTe2N.

abc: 4.9397 4.9397 3.5570
angles: 90.00 90.00 90.00
With the nearest neighbours (Å) after each atom.
Positions (direct):
Nb: 0.0000 0.0000 0.0000  8 Te 3.04
Co: 0.5000 0.5000 0.0000  2 N 1.78
Te: 0.0000 0.5000 0.5000  2 N 2.47
Te: 0.5000 0.0000 0.5000  2 N 2.47
N: 0.5000 0.5000 0.5000  2 Co 1.78

Summary:
Space group: P4/mmm
DOS at the Fermi energy (states/eV/f.u.): 5.2
V (A^3/atom): 17.359
E_form (uncorrected) (kJ/mol of formula units): 265